Record 1
Computed, not measured: an optimized crystal structure of BaTa4In at the PBE level of DFT.

Structure (POSCAR):
```
BaTa4In
1.0
0.0000 4.0901 4.0901
4.0901 0.0000 4.0901
4.0901 4.0901 0.0000
Ba Ta In
1 4 1
Direct
0.0000 0.0000 0.0000
0.3727 0.3727 0.3727
0.3727 0.3727 0.8818
0.3727 0.8818 0.3727
0.8818 0.3727 0.3727
0.7500 0.7500 0.7500
```

As for the symmetry: F-43m. The calculated total energy comes out at -0.293 hartree per atom.

***

Record 2
Computed, not measured: an optimized crystal structure of CrCd2Se at the PBE level of DFT.

Structure (POSCAR):
```
CrCd2Se
1.0
2.7813 -2.8177 0.0000
2.7813 2.8177 0.0000
0.0000 0.0000 5.6978
Cr Cd Se
1 2 1
Direct
0.0000 0.0000 0.0000
0.2492 0.2492 0.5000
0.7508 0.7508 0.5000
0.5000 0.5000 0.0000
```

As for the symmetry: Cmmm. The calculated total energy comes out at -0.132 hartree per atom.

***

Record 3
Computed, not measured: an optimized crystal structure of PrPd6Au5 at the PBE level of DFT.

Structure (POSCAR):
```
PrPd6Au5
1.0
-2.1697 3.8100 6.4151
2.1697 -3.8100 6.4151
2.1697 3.8100 -6.4151
Pr Pd Au
1 6 5
Direct
0.0000 0.0000 0.0000
0.0880 0.8303 0.2577
0.2653 0.5000 0.7653
0.4274 0.1697 0.2577
0.5726 0.8303 0.7423
0.7347 0.5000 0.2347
0.9120 0.1697 0.7423
0.1661 0.6661 0.5000
0.3294 0.3294 0.0000
0.5000 0.0000 0.5000
0.6706 0.6706 0.0000
0.8339 0.3339 0.5000
```

As for the symmetry: Immm. The calculated total energy comes out at -0.172 hartree per atom.

***

Record 4
Computed, not measured: an optimized crystal structure of BeCdPt3 at the PBE level of DFT.

Structure (POSCAR):
```
BeCdPt3
1.0
5.4243 -5.7438 0.0000
5.4243 5.7438 0.0000
-0.1444 0.0000 4.8952
Be Cd Pt
4 4 12
Direct
0.0550 0.9450 0.7500
0.1579 0.8421 0.2500
0.8421 0.1579 0.7500
0.9450 0.0550 0.2500
0.3127 0.4615 0.9321
0.4615 0.3127 0.4321
0.5385 0.6873 0.5679
0.6873 0.5385 0.0679
0.0338 0.6695 0.9096
0.1029 0.2259 0.5814
0.1824 0.5734 0.4237
0.2259 0.1029 0.0814
0.3305 0.9662 0.5904
0.4266 0.8176 0.0763
0.5734 0.1824 0.9237
0.6695 0.0338 0.4096
0.7741 0.8971 0.9186
0.8176 0.4266 0.5763
0.8971 0.7741 0.4186
0.9662 0.3305 0.0904
```

Its relative energy among the computed polymorphs is 96.3 meV/atom. As for the symmetry: C2/c. The calculated total energy comes out at -0.180 hartree per atom.

***

Record 5
Computed, not measured: an optimized crystal structure of La4Ni2Ag at the PBE level of DFT.

Structure (POSCAR):
```
La4Ni2Ag
1.0
2.4231 1.3990 9.4404
-2.4231 1.3990 9.4404
0.0000 -2.7979 9.4404
La Ni Ag
4 2 1
Direct
0.1141 0.1141 0.1141
0.2960 0.2960 0.2960
0.7040 0.7040 0.7040
0.8859 0.8859 0.8859
0.4027 0.4027 0.4027
0.5973 0.5973 0.5973
0.5000 0.5000 0.5000
```

Its relative energy among the computed polymorphs is 55.6 meV/atom. As for the symmetry: R-3m. The calculated total energy comes out at -0.185 hartree per atom.

***

Record 6
Computed, not measured: an optimized crystal structure of LiVGa2 at the PBE level of DFT.

Structure (POSCAR):
```
LiVGa2
1.0
1.4080 0.8129 8.7395
-1.4080 0.8129 8.7395
0.0000 -1.6259 8.7395
Li V Ga
1 1 2
Direct
0.0000 0.0000 0.0000
0.1660 0.1660 0.1660
0.5817 0.5817 0.5817
0.7503 0.7503 0.7503
```

Its relative energy among the computed polymorphs is 114.2 meV/atom. As for the symmetry: R3m. The calculated total energy comes out at -0.162 hartree per atom.

***

Record 7
Computed, not measured: an optimized crystal structure of Ho10In3Bi3 at the PBE level of DFT.

Structure (POSCAR):
```
Ho10In3Bi3
1.0
9.0191 0.0000 0.0000
-4.5095 7.8108 0.0000
0.0000 0.0000 6.5635
Ho In Bi
10 3 3
Direct
0.0000 0.2356 0.0000
0.0000 0.7650 0.5000
0.2350 0.2350 0.5000
0.2356 0.0000 0.0000
0.3333 0.6667 0.2429
0.3333 0.6667 0.7571
0.6667 0.3333 0.2429
0.6667 0.3333 0.7571
0.7644 0.7644 0.0000
0.7650 0.0000 0.5000
0.0000 0.6056 0.0000
0.3944 0.3944 0.0000
0.6056 0.0000 0.0000
0.0000 0.3964 0.5000
0.3964 0.0000 0.5000
0.6036 0.6036 0.5000
```

As for the symmetry: P-62m. The calculated total energy comes out at -0.171 hartree per atom.

***

Record 8
Computed, not measured: an optimized crystal structure of Th4Os2PdSe at the PBE level of DFT.

Structure (POSCAR):
```
Th4Os2PdSe
1.0
7.2587 0.0000 0.0000
0.0000 4.1458 0.0000
-2.4591 0.0000 7.0357
Th Os Pd Se
4 2 1 1
Direct
0.2358 0.0000 0.2192
0.2570 0.5000 0.7786
0.7430 0.5000 0.2214
0.7642 0.0000 0.7808
0.0000 0.5000 0.0000
0.5000 0.0000 0.0000
0.0000 0.0000 0.5000
0.5000 0.5000 0.5000
```

As for the symmetry: P2/m. The calculated total energy comes out at -0.307 hartree per atom.

***

Record 9
Computed, not measured: an optimized crystal structure of Zr2TlN at the PBE level of DFT.

Structure (POSCAR):
```
Zr2TlN
1.0
2.8814 -1.6648 0.0000
2.8814 1.6648 0.0000
-1.9328 0.0000 7.5146
Zr Tl N
2 1 1
Direct
0.2228 0.2228 0.1654
0.7772 0.7772 0.8346
0.0000 0.0000 0.5000
0.5000 0.5000 0.0000
```

As for the symmetry: C2/m. The calculated total energy comes out at -0.290 hartree per atom.

***

Record 10
Computed, not measured: an optimized crystal structure of SrCa3Ni2 at the PBE level of DFT.

Structure (POSCAR):
```
SrCa3Ni2
1.0
8.6807 -2.0384 0.0000
8.6807 2.0384 0.0000
-6.6537 0.0000 10.3422
Sr Ca Ni
2 6 4
Direct
0.1558 0.1558 0.2438
0.8442 0.8442 0.7562
0.1616 0.1616 0.7553
0.4083 0.4083 0.5503
0.4087 0.4087 0.0626
0.5913 0.5913 0.9374
0.5917 0.5917 0.4497
0.8384 0.8384 0.2447
0.2361 0.2361 0.0377
0.2363 0.2363 0.5379
0.7637 0.7637 0.4621
0.7639 0.7639 0.9623
```

As for the symmetry: C2/m. The calculated total energy comes out at -0.122 hartree per atom.

***

Record 11
Computed, not measured: an optimized crystal structure of Tc2MoW at the PBE level of DFT.

Structure (POSCAR):
```
Tc2MoW
1.0
1.3965 0.8063 9.1039
-1.3965 0.8063 9.1039
0.0000 -1.6126 9.1039
Tc Mo W
2 1 1
Direct
0.2503 0.2503 0.2503
0.7497 0.7497 0.7497
0.0000 0.0000 0.0000
0.5000 0.5000 0.5000
```

Its relative energy among the computed polymorphs is 144.9 meV/atom. As for the symmetry: R-3m. The calculated total energy comes out at -0.401 hartree per atom.

***

Record 12
Computed, not measured: an optimized crystal structure of HfFeSnH2 at the PBE level of DFT.

Structure (POSCAR):
```
HfFeSnH2
1.0
3.8537 0.0000 0.0000
0.0000 3.8537 0.0000
0.0000 0.0000 5.0172
Hf Fe Sn H
1 1 1 2
Direct
0.0000 0.0000 0.0000
0.5000 0.5000 0.5000
0.5000 0.5000 0.0000
0.0000 0.5000 0.5000
0.5000 0.0000 0.5000
```

As for the symmetry: P4/mmm. The calculated total energy comes out at -0.192 hartree per atom.